No. 1
VASP calculation (PBEsol) on an optimized crystal structure of Cd2Os2O7.

Results
The formation energy without anion corrections comes out at -1.030 eV/atom.

```
data_Cd2Os2O7
_chemical_formula_sum 'Cd4 Os4 O14'
_cell_length_a 7.201
_cell_length_b 7.201
_cell_length_c 7.201
_cell_angle_alpha 60.00
_cell_angle_beta 60.00
_cell_angle_gamma 60.00
_space_group_name_H-M_alt 'P 1'
_space_group_IT_number 1
_space_group_name_Hall 'P 1'
loop_
_atom_site_label
_atom_site_type_symbol
_atom_site_fract_x
_atom_site_fract_y
_atom_site_fract_z
Cd1 Cd 0.125 0.625 0.625
Cd2 Cd 0.625 0.625 0.625
Cd3 Cd 0.625 0.625 0.125
Cd4 Cd 0.625 0.125 0.625
Os1 Os 0.625 0.125 0.125
Os2 Os 0.125 0.125 0.125
Os3 Os 0.125 0.125 0.625
Os4 Os 0.125 0.625 0.125
O1 O 0.750 0.750 0.750
O2 O 0.500 0.500 0.500
O3 O 0.443 0.057 0.443
O4 O 0.193 0.807 0.193
O5 O 0.443 0.443 0.057
O6 O 0.443 0.057 0.057
O7 O 0.057 0.443 0.443
O8 O 0.057 0.057 0.443
O9 O 0.057 0.443 0.057
O10 O 0.193 0.807 0.807
O11 O 0.807 0.193 0.193
O12 O 0.807 0.193 0.807
O13 O 0.193 0.193 0.807
O14 O 0.807 0.807 0.193
```

No. 2
VASP calculation (PBEsol) on an optimized crystal structure of BeZnTc2.

Results
Its formation energy is -0.046 eV/atom. The polymorph energy (0 for the lowest one) is 0 meV/atom.

```
data_BeZnTc2
_chemical_formula_sum 'Be1 Zn1 Tc2'
_cell_length_a 2.892
_cell_length_b 2.892
_cell_length_c 6.046
_cell_angle_alpha 90.00
_cell_angle_beta 90.00
_cell_angle_gamma 90.00
_space_group_name_H-M_alt 'P 1'
_space_group_IT_number 1
_space_group_name_Hall 'P 1'
loop_
_atom_site_label
_atom_site_type_symbol
_atom_site_fract_x
_atom_site_fract_y
_atom_site_fract_z
Be1 Be 0.500 0.500 0.754
Zn1 Zn 0.000 0.000 0.530
Tc1 Tc 0.000 0.000 0.988
Tc2 Tc 0.500 0.500 0.228
```

No. 3
VASP calculation (PBEsol) on an optimized crystal structure of CaSiC3.

Results
The formation energy without anion corrections comes out at 3.468 eV/atom. The polymorph energy (0 for the lowest one) is 2269 meV/atom.

```
data_CaSiC3
_chemical_formula_sum 'Ca1 Si1 C3'
_cell_length_a 4.311
_cell_length_b 4.311
_cell_length_c 4.311
_cell_angle_alpha 90.00
_cell_angle_beta 90.00
_cell_angle_gamma 90.00
_space_group_name_H-M_alt 'P 1'
_space_group_IT_number 1
_space_group_name_Hall 'P 1'
loop_
_atom_site_label
_atom_site_type_symbol
_atom_site_fract_x
_atom_site_fract_y
_atom_site_fract_z
C1 C 0.000 0.500 0.000
C2 C 0.000 0.000 0.500
C3 C 0.500 0.000 0.000
Ca1 Ca 0.000 0.000 0.000
Si1 Si 0.500 0.500 0.500
```

No. 4
VASP calculation (PBEsol) on an optimized crystal structure of TaMoS2Cl.

Results
The formation energy without anion corrections comes out at 0.709 eV/atom.

```
data_TaMoS2Cl
_chemical_formula_sum 'Ta1 Mo1 S2 Cl1'
_cell_length_a 4.553
_cell_length_b 4.632
_cell_length_c 4.632
_cell_angle_alpha 90.00
_cell_angle_beta 90.00
_cell_angle_gamma 90.00
_space_group_name_H-M_alt 'P 1'
_space_group_IT_number 1
_space_group_name_Hall 'P 1'
loop_
_atom_site_label
_atom_site_type_symbol
_atom_site_fract_x
_atom_site_fract_y
_atom_site_fract_z
Mo1 Mo 0.000 0.000 0.000
Cl1 Cl 0.500 0.000 0.000
S1 S 0.000 0.000 0.500
S2 S 0.000 0.500 0.000
Ta1 Ta 0.500 0.500 0.500
```

No. 5
VASP calculation (PBEsol) on an optimized crystal structure of BAs2SI.

Results
The formation energy without anion corrections comes out at 0.698 eV/atom.

```
data_BAs2SI
_chemical_formula_sum 'B1 As2 S1 I1'
_cell_length_a 4.025
_cell_length_b 4.697
_cell_length_c 4.697
_cell_angle_alpha 90.00
_cell_angle_beta 90.00
_cell_angle_gamma 90.00
_space_group_name_H-M_alt 'P 1'
_space_group_IT_number 1
_space_group_name_Hall 'P 1'
loop_
_atom_site_label
_atom_site_type_symbol
_atom_site_fract_x
_atom_site_fract_y
_atom_site_fract_z
I1 I 0.500 0.500 0.500
As1 As 0.000 0.000 0.500
As2 As 0.000 0.500 0.000
B1 B 0.000 0.000 0.000
S1 S 0.500 0.000 0.000
```

No. 6
VASP calculation (PBEsol) on an optimized crystal structure of DyZnNi.

Results
Its formation energy is -0.462 eV/atom.

```
data_DyZnNi
_chemical_formula_sum 'Dy3 Zn3 Ni3'
_cell_length_a 3.711
_cell_length_b 6.879
_cell_length_c 6.879
_cell_angle_alpha 120.00
_cell_angle_beta 90.00
_cell_angle_gamma 90.00
_space_group_name_H-M_alt 'P 1'
_space_group_IT_number 1
_space_group_name_Hall 'P 1'
loop_
_atom_site_label
_atom_site_type_symbol
_atom_site_fract_x
_atom_site_fract_y
_atom_site_fract_z
Ni1 Ni 0.000 0.000 0.000
Ni2 Ni 0.500 0.667 0.333
Ni3 Ni 0.500 0.333 0.667
Zn1 Zn 0.500 0.758 0.000
Zn2 Zn 0.500 0.000 0.758
Zn3 Zn 0.500 0.242 0.242
Dy1 Dy 0.000 0.591 0.591
Dy2 Dy 0.000 0.000 0.409
Dy3 Dy 0.000 0.409 0.000
```

no.,total energy (eV per atom),D(E_F) (states/eV per cell)
1,-6.809,11.17
2,-7.074,1.62
3,-3.894,4.04
4,-6.310,5.95
5,-3.978,2.90
6,-4.701,6.03